No. 1
Density functional theory data (PBE-GGA) for a relaxed structure of LiCaLa.

Structure (extended XYZ):
```
3
Lattice="-1.873 1.873 7.121 1.873 -1.873 7.121 1.873 1.873 -7.121" Properties=species:S:1:pos:R:3 pbc="T T T"
Li 0.000 0.000 0.000
Ca 0.000 0.000 9.200
La 0.000 0.000 4.959
```

Values from the calculation:
The formation energy from the elements comes out at 106 meV/atom. For the total magnetization, the calculation gives 0.00 μB/f.u. Its density of states at the Fermi level is 5.83 states/eV per cell.



No. 2
Density functional theory data (PBE-GGA) for a relaxed structure of Li2CaLa.

Structure (extended XYZ):
```
4
Lattice="1.813 1.046 11.195 -1.813 1.046 11.195 0.000 -2.093 11.195" Properties=species:S:1:pos:R:3 pbc="T T T"
Li 0.000 0.000 8.396
Li 0.000 0.000 25.189
Ca 0.000 0.000 0.000
La 0.000 0.000 16.792
```

Values from the calculation:
The formation energy from the elements comes out at 144 meV/atom. For the total magnetization, the calculation gives 0.01 μB/f.u. Its density of states at the Fermi level is 4.79 states/eV per cell.